First-principles (PBE) data for crystalline KH2I4 at its relaxed geometry, as listed in Alexandria.

Lattice parameters (Å, degrees): 10.018 10.018 9.875 97.41 96.89 138.99
Fractional coordinates of all 14 atoms:
K (0.248, 0.748, 0.500)
K (0.002, 0.002, 0.000)
H (0.625, 0.875, 0.250)
H (0.625, 0.375, 0.750)
H (0.125, 0.375, 0.750)
H (0.625, 0.375, 0.250)
I (0.885, 0.632, 0.730)
I (0.366, 0.119, 0.771)
I (0.902, 0.155, 0.270)
I (0.368, 0.117, 0.271)
I (0.845, 0.096, 0.729)
I (0.348, 0.595, 0.229)
I (0.882, 0.633, 0.229)
I (0.404, 0.653, 0.771)

E above lowest polymorph: 0.071 eV per atom
total magnetization: 0.00 μB/cell
SG: C2/c

First-principles (PBE) data for crystalline TaVNi2 at its relaxed geometry, as listed in Alexandria.

Lattice parameters (Å, degrees): 4.256 4.256 4.256 60.00 60.00 60.00
Site moments in Bohr magnetons follow the coordinates.
Fractional coordinates of all 4 atoms:
Ni (0.250, 0.250, 0.250)  0.31
Ni (0.750, 0.750, 0.750)  0.31
Ta (0.500, 0.500, 0.500)  0.11
V (0.000, 0.000, 0.000)  1.38

E above lowest polymorph: 0.140 eV per atom
total magnetization: 2.34 μB/cell
SG: Fm-3m
ΔH_f (0 K): -3 kJ per mole of atoms

First-principles (PBE) data for crystalline DySc3Al at its relaxed geometry, as listed in Alexandria.

Lattice parameters (Å, degrees): 3.383 6.334 11.716 85.43 90.00 74.51
Site moments in Bohr magnetons follow the coordinates.
Fractional coordinates of all 10 atoms:
Dy (0.232, 0.535, 0.752)  0.05
Dy (0.768, 0.465, 0.248)  0.05
Sc (0.143, 0.715, 0.452)  0.01
Sc (0.366, 0.268, 0.017)  0.09
Sc (0.029, 0.941, 0.190)  0.12
Sc (0.857, 0.285, 0.548)  0.01
Sc (0.971, 0.059, 0.810)  0.12
Sc (0.634, 0.732, 0.983)  0.09
Al (0.546, 0.908, 0.622)  0.00
Al (0.454, 0.092, 0.378)  0.00

E above lowest polymorph: 0.000 eV per atom
total magnetization: 0.90 μB/cell
SG: C2/m
ΔH_f (0 K): -15 kJ per mole of atoms

First-principles (PBE) data for crystalline In2SnBi2 at its relaxed geometry, as listed in Alexandria.

Lattice parameters (Å, degrees): 8.761 8.761 4.012 90.00 90.00 90.00
Fractional coordinates of all 10 atoms:
In (0.147, 0.647, 0.500)
In (0.647, 0.853, 0.500)
In (0.853, 0.353, 0.500)
In (0.353, 0.147, 0.500)
Bi (0.348, 0.848, 0.000)
Bi (0.848, 0.652, 0.000)
Bi (0.652, 0.152, 0.000)
Bi (0.152, 0.348, 0.000)
Sn (0.000, 0.000, 0.000)
Sn (0.500, 0.500, 0.000)

E above lowest polymorph: 0.074 eV per atom
total magnetization: 0.00 μB/cell
SG: P4/mbm
ΔH_f (0 K): 10 kJ per mole of atoms

First-principles (PBE) data for crystalline PmHoEr at its relaxed geometry, as listed in Alexandria.

Lattice parameters (Å, degrees): 7.962 7.961 10.083 90.00 90.00 143.22
Fractional coordinates of all 12 atoms:
Pm (0.917, 0.333, 0.126)
Pm (0.083, 0.167, 0.874)
Pm (0.417, 0.833, 0.374)
Pm (0.583, 0.667, 0.626)
Ho (0.249, 0.001, 0.125)
Ho (0.751, 0.499, 0.875)
Ho (0.749, 0.501, 0.375)
Ho (0.251, 0.999, 0.625)
Er (0.416, 0.834, 0.875)
Er (0.584, 0.666, 0.125)
Er (0.916, 0.334, 0.625)
Er (0.084, 0.166, 0.375)

E above lowest polymorph: 0.000 eV per atom
total magnetization: 0.00 μB/cell
SG: Cmce
ΔH_f (0 K): 2 kJ per mole of atoms

First-principles (PBE) data for crystalline La3Dy8Th3 at its relaxed geometry, as listed in Alexandria.

Lattice parameters (Å, degrees): 5.642 9.572 9.572 88.96 72.86 72.86
Fractional coordinates of all 14 atoms:
La (0.500, 0.500, 0.500)
La (0.783, 0.217, 0.217)
La (0.217, 0.783, 0.783)
Dy (0.639, 0.104, 0.617)
Dy (0.361, 0.896, 0.383)
Dy (0.639, 0.617, 0.104)
Dy (0.361, 0.383, 0.896)
Dy (0.865, 0.753, 0.518)
Dy (0.135, 0.247, 0.482)
Dy (0.865, 0.518, 0.753)
Dy (0.135, 0.482, 0.247)
Th (0.500, 0.000, 0.000)
Th (0.000, 0.847, 0.153)
Th (0.000, 0.153, 0.847)

total magnetization: 0.00 μB/cell
SG: Immm
ΔH_f (0 K): 16 kJ per mole of atoms

First-principles (PBE) data for crystalline Y4HoSe4 at its relaxed geometry, as listed in Alexandria.

Lattice parameters (Å, degrees): 5.735 6.970 6.972 80.22 65.71 65.71
Fractional coordinates of all 9 atoms:
Y (0.601, 0.605, 0.194)
Y (0.399, 0.395, 0.806)
Y (0.205, 0.194, 0.396)
Y (0.795, 0.806, 0.604)
Ho (0.000, 0.000, 0.000)
Se (0.904, 0.397, 0.795)
Se (0.096, 0.603, 0.205)
Se (0.301, 0.794, 0.604)
Se (0.699, 0.206, 0.396)

total magnetization: 0.00 μB/cell
uncorrected formation energy: -1.531 eV/atom
SG: I4/m

First-principles (PBE) data for crystalline Pm5Sb4O at its relaxed geometry, as listed in Alexandria.

Lattice parameters (Å, degrees): 6.323 7.539 7.539 79.87 65.20 65.20
Fractional coordinates of all 10 atoms:
Pm (0.905, 0.377, 0.820)
Pm (0.282, 0.820, 0.623)
Pm (0.724, 0.180, 0.377)
Pm (0.101, 0.623, 0.180)
Pm (0.416, 0.000, 0.000)
Sb (0.413, 0.393, 0.787)
Sb (0.807, 0.787, 0.607)
Sb (0.201, 0.213, 0.393)
Sb (0.594, 0.607, 0.213)
O (0.068, 0.000, 0.000)

total magnetization: 0.00 μB/cell
uncorrected formation energy: -1.366 eV/atom
SG: I4

no.,DOS(E_F) (states/eV/f.u.)
1,5.328
2,4.863
3,6.913
4,2.853
5,4.052
6,22.588
7,6.116
8,2.588